[1]
Li2MgIr | PBE-GGA | optimized geometry

Output
* Fermi-level density of states: 0.55 states/eV/atom
* electronic total energy: -3.6943 eV per atom
* SG: Pmm2
* energy of formation: -123 meV per atom

Cell: 2.717 4.114 5.596 Å, 90.00 90.00 90.00°
Fractional coordinates of all 4 atoms:
Li 0.500 0.500 0.237
Li 0.000 0.000 0.986
Ir 0.500 0.500 0.748
Mg 0.000 0.000 0.530

[2]
LiMg2Ir2 | PBE-GGA | optimized geometry

Output
* offset from the most stable computed form: 331 meV per atom
* Fermi-level density of states: 1.01 states/eV/atom
* electronic total energy: -4.3519 eV per atom
* SG: I4/mmm
* energy of formation: 213 meV per atom

Cell: 4.686 4.686 5.708 Å, 65.77 65.77 90.00°
Fractional coordinates of all 5 atoms:
Li 0.000 0.000 0.000
Ir 0.372 0.372 0.255
Ir 0.628 0.628 0.745
Mg 0.250 0.750 0.500
Mg 0.750 0.250 0.500

[3]
Li2MgIr | PBE-GGA | optimized geometry

Output
* Fermi-level density of states: 0.31 states/eV/atom
* electronic total energy: -3.7299 eV per atom
* SG: I-4m2
* energy of formation: -159 meV per atom

Cell: 4.387 4.387 4.387 Å, 119.79 119.78 90.37°
Fractional coordinates of all 4 atoms:
Li 0.250 0.750 0.500
Li 0.000 0.000 0.000
Mg 0.500 0.500 0.000
Ir 0.750 0.250 0.500

[4]
Li2MgIr2 | PBE-GGA | optimized geometry

Output
* offset from the most stable computed form: 40 meV per atom
* Fermi-level density of states: 0.87 states/eV/atom
* electronic total energy: -4.5715 eV per atom
* SG: P4/mbm
* energy of formation: 57 meV per atom

Cell: 7.243 7.243 2.793 Å, 90.00 90.00 90.00°
Fractional coordinates of all 10 atoms:
Ir 0.124 0.376 0.000
Ir 0.624 0.124 0.000
Ir 0.876 0.624 0.000
Ir 0.376 0.876 0.000
Li 0.170 0.670 0.500
Li 0.670 0.830 0.500
Li 0.830 0.330 0.500
Li 0.330 0.170 0.500
Mg 0.000 0.000 0.000
Mg 0.500 0.500 0.000